[1]
Material: Co2AsP2
Method: DFT, GGA-PBEsol
State: relaxed

- formation enthalpy at 0 K (eV/atom) = -0.106

Unit cell a=3.500 b=3.500 c=10.590 alpha=90.00 beta=90.00 gamma=90.00
Space group I4/mmm (No. 139)
Symmetry-distinct sites (fractional):
Co  0.000  0.000  0.126 (multiplicity 4)
As  0.000  0.000  0.500 (multiplicity 2)
P  0.000  0.500  0.250 (multiplicity 4)

[2]
Material: MgSbO2F
Method: DFT, GGA-PBEsol
State: relaxed

- energy relative to the elements, uncorrected (eV/atom) = -1.231

Unit cell a=4.219 b=4.219 c=4.304 alpha=90.00 beta=90.00 gamma=90.00
Space group P4/mmm (No. 123)
Symmetry-distinct sites (fractional):
Mg  0.000  0.000  0.000 (multiplicity 1)
Sb  0.500  0.500  0.500 (multiplicity 1)
O  0.000  0.500  0.500 (multiplicity 2)
F  0.500  0.500  0.000 (multiplicity 1)